Record 1
Compound: Nd6ZnCo2Br3
Source: Alexandria via LeMat-Bulk
Functional: GGA-PBE
Structure: relaxed

a b c (Å): 7.104 7.104 8.116
angles (deg): 98.40 98.40 120.00
Atoms (fractional coordinates):
Nd (0.073, 0.433, 0.801)
Nd (0.205, 0.205, 0.198)
Nd (0.433, 0.073, 0.801)
Nd (0.567, 0.927, 0.199)
Nd (0.795, 0.795, 0.802)
Nd (0.927, 0.567, 0.199)
Zn (0.500, 0.500, 0.000)
Co (0.167, 0.833, 0.000)
Co (0.833, 0.167, 0.000)
Br (0.000, 0.000, 0.500)
Br (0.335, 0.665, 0.500)
Br (0.665, 0.335, 0.500)

**VASP energy**: -57.64 eV/f.u.
**Mass density**: 6.3 g/cm³
**DOS(E_F)**: 8.57 states/eV per cell
**Volume**: 28.3 Å³/atom
**Uncorrected formation energy**: -8.53 eV/f.u.



Record 2
Compound: ReBN2
Source: Alexandria via LeMat-Bulk
Functional: GGA-PBE
Structure: relaxed

a b c (Å): 5.973 5.973 5.973
angles (deg): 25.76 25.76 25.76
Atoms (fractional coordinates):
Re (0.000, 0.000, 0.000)
B (0.500, 0.500, 0.500)
N (0.114, 0.114, 0.114)
N (0.886, 0.886, 0.886)

**VASP energy**: -32.99 eV/f.u.
**Mass density**: 10.5 g/cm³
**DOS(E_F)**: 2.57 states/eV per cell
**Volume**: 8.9 Å³/atom
**Uncorrected formation energy**: 2.78 eV/f.u.



Record 3
Compound: YGa4Ni2Pd
Source: Alexandria via LeMat-Bulk
Functional: GGA-PBE
Structure: relaxed

a b c (Å): 9.077 9.077 9.077
angles (deg): 26.38 26.38 26.38
Atoms (fractional coordinates):
Y (0.000, 0.000, 0.000)
Ga (0.126, 0.126, 0.126)
Ga (0.400, 0.400, 0.400)
Ga (0.600, 0.600, 0.600)
Ga (0.874, 0.874, 0.874)
Ni (0.235, 0.235, 0.235)
Ni (0.765, 0.765, 0.765)
Pd (0.500, 0.500, 0.500)

**VASP energy**: -39.32 eV/f.u.
**Mass density**: 7.5 g/cm³
**DOS(E_F)**: 4.99 states/eV per cell
**Energy of formation**: -0.50 eV per atom
**Volume**: 16.3 Å³/atom



Record 4
Compound: Y2ScIrO
Source: Alexandria via LeMat-Bulk
Functional: GGA-PBE
Structure: relaxed

a b c (Å): 4.785 4.785 4.127
angles (deg): 90.00 90.00 90.00
Atoms (fractional coordinates):
Y (0.000, 0.500, 0.000)
Y (0.500, 0.000, 0.000)
Sc (0.000, 0.000, 0.500)
Ir (0.500, 0.500, 0.500)
O (0.000, 0.000, 0.000)

**VASP energy**: -40.44 eV/f.u.
**Mass density**: 7.6 g/cm³
**DOS(E_F)**: 3.31 states/eV per cell
**Volume**: 18.9 Å³/atom
**Uncorrected formation energy**: -7.36 eV/f.u.



Record 5
Compound: Rb3CeBr8
Source: Alexandria via LeMat-Bulk
Functional: GGA-PBE
Structure: relaxed

a b c (Å): 9.589 9.589 9.589
angles (deg): 131.74 131.74 70.64
Atoms (fractional coordinates):
Rb (0.000, 0.000, 0.000)
Rb (0.250, 0.750, 0.500)
Rb (0.750, 0.250, 0.500)
Ce (0.500, 0.500, 0.000)
Br (0.170, 0.170, 0.561)
Br (0.170, 0.609, 0.000)
Br (0.391, 0.391, 0.561)
Br (0.391, 0.830, 0.000)
Br (0.609, 0.170, 0.000)
Br (0.609, 0.609, 0.439)
Br (0.830, 0.391, 0.000)
Br (0.830, 0.830, 0.439)

**VASP energy**: -39.73 eV/f.u.
**Mass density**: 3.6 g/cm³
**DOS(E_F)**: 14.88 states/eV per cell
**Volume**: 40.1 Å³/atom
**Uncorrected formation energy**: -17.51 eV/f.u.



Record 6
Compound: Zr4Te5H2
Source: Alexandria via LeMat-Bulk
Functional: GGA-PBE
Structure: relaxed

a b c (Å): 8.568 8.568 8.562
angles (deg): 104.04 104.04 25.67
Atoms (fractional coordinates):
Zr (0.001, 0.001, 0.259)
Zr (0.379, 0.379, 0.439)
Zr (0.621, 0.621, 0.561)
Zr (0.999, 0.999, 0.741)
Te (0.174, 0.174, 0.824)
Te (0.176, 0.176, 0.349)
Te (0.500, 0.500, 0.000)
Te (0.824, 0.824, 0.651)
Te (0.826, 0.826, 0.176)
H (0.499, 0.499, 0.626)
H (0.501, 0.501, 0.374)

**VASP energy**: -64.53 eV/f.u.
**Mass density**: 6.3 g/cm³
**DOS(E_F)**: 4.46 states/eV per cell
**Volume**: 24.0 Å³/atom